Record 1
5
Lattice="4.855 0.000 0.000 0.000 4.855 0.000 0.000 0.000 4.855" Properties=species:S:1:pos:R:3 comment="CdRePt3 PBE optimized geometry" delta_e_f_ev_per_atom=1.008 pbc="T T T"
Re 0.000 0.000 0.000
Pt 2.428 0.000 0.000
Pt 0.000 2.428 0.000
Pt 0.000 0.000 2.428
Cd 2.428 2.428 2.428

=====

Record 2
4
Lattice="3.059 0.000 0.000 0.000 3.059 0.000 0.000 0.000 6.674" Properties=species:S:1:pos:R:3 comment="LiScMn2 PBE optimized geometry" delta_e_f_ev_per_atom=0.309 pbc="T T T"
Mn 0.000 0.000 3.528
Mn 0.000 0.000 6.482
Sc 1.529 1.529 1.668
Li 1.529 1.529 5.005

=====

Record 3
5
Lattice="5.402 0.000 0.000 0.000 4.216 0.000 0.000 0.000 5.402" Properties=species:S:1:pos:R:3 comment="KBeReSb2 PBE optimized geometry" e_form_raw_mev_per_atom=2712 pbc="T T T"
Be 0.000 2.108 0.000
K 0.000 0.000 0.000
Sb 0.000 0.000 2.701
Sb 2.701 0.000 0.000
Re 2.701 2.108 2.701

=====

Record 4
8
Lattice="-0.529 3.748 -0.993 -0.102 -1.015 -3.778 -9.347 0.238 -1.838" Properties=species:S:1:pos:R:3 comment="ZrIrRu2 PBE optimized geometry" delta_e_f_ev_per_atom=0.178 pbc="T T T"
Ru -7.243 1.244 -3.015
Ru -2.445 -0.258 -2.905
Ru -7.566 2.528 -5.706
Ru -2.701 2.427 -1.593
Ir -5.096 2.676 -2.608
Ir 0.000 0.000 0.000
Zr -0.315 1.366 -2.386
Zr -4.882 0.294 -4.001

=====

| no. | magnetic moment (μB per formula unit) | raw total energy (eV per formula unit) |
| --- | --- | --- |
| 1 | 0.00 | -26.45 |
| 2 | 5.74 | -25.35 |
| 3 | 0.00 | -11.96 |
| 4 | 0.00 | -35.25 |